Computed, not measured: Dy3YEr6Th2 after structural relaxation at the PBE-GGA level of DFT.

Cell: 6.128 6.128 11.684 Å, 95.04 95.04 119.96°
Fractional coordinates of all 12 atoms:
Dy 0.000 0.000 0.000
Dy 0.334 0.666 0.000
Dy 0.666 0.334 0.000
Y 0.500 0.500 0.500
Er 0.079 0.416 0.251
Er 0.246 0.246 0.749
Er 0.416 0.079 0.251
Er 0.584 0.921 0.749
Er 0.754 0.754 0.251
Er 0.921 0.584 0.749
Th 0.167 0.833 0.500
Th 0.833 0.167 0.500

DOS(E_F)	1.35	states/eV per atom
M_tot	0.00	μB per formula unit
energy	-5.18	eV per atom
formation energy	0.024	eV per atom
space group	C2/m, No. 12
density	9.07	g/cm³